Record 1
DFT (meta-GGA SCAN) results for TlBiTeN2 at its PBEsol-relaxed geometry.

Computed properties:
Calculated volume   121 Å³/cell
ΔE_f (raw)   1.40 eV per atom

a = 4.4006 Å, b = 4.4006 Å, c = 6.2384 Å
α = 90.00°, β = 90.00°, γ = 90.00°
Atoms (fractional coordinates):
Tl: 0.0000 0.0000 0.0000
Bi: 0.5000 0.5000 0.5000
Te: 0.5000 0.5000 0.0000
N: 0.0000 0.5000 0.5000
N: 0.5000 0.0000 0.5000



Record 2
DFT (meta-GGA SCAN) results for TiBiN3 at its PBEsol-relaxed geometry.

Computed properties:
Calculated volume   72 Å³/cell
ΔE_f (raw)   1.73 eV per atom

a = 4.1689 Å, b = 4.1689 Å, c = 4.1689 Å
α = 90.00°, β = 90.00°, γ = 90.00°
Atoms (fractional coordinates):
Ti: 0.0000 0.0000 0.0000
Bi: 0.5000 0.5000 0.5000
N: 0.0000 0.5000 0.5000
N: 0.5000 0.0000 0.5000
N: 0.5000 0.5000 0.0000



Record 3
DFT (meta-GGA SCAN) results for TiBi3N at its PBEsol-relaxed geometry.

Computed properties:
Calculated volume   148 Å³/cell
ΔE_f (raw)   1.05 eV per atom

a = 5.2912 Å, b = 5.2912 Å, c = 5.2912 Å
α = 90.00°, β = 90.00°, γ = 90.00°
Atoms (fractional coordinates):
Ti: 0.0000 0.0000 0.0000
Bi: 0.0000 0.0000 0.5000
Bi: 0.0000 0.5000 0.0000
Bi: 0.5000 0.0000 0.0000
N: 0.5000 0.5000 0.5000



Record 4
DFT (meta-GGA SCAN) results for ZrTlBi2N at its PBEsol-relaxed geometry.

Computed properties:
Calculated volume   112 Å³/cell
ΔE_f (raw)   0.66 eV per atom

a = 4.9230 Å, b = 4.9230 Å, c = 4.6061 Å
α = 90.00°, β = 90.00°, γ = 90.00°
Atoms (fractional coordinates):
Zr: 0.0000 0.0000 0.0000
Tl: 0.5000 0.5000 0.0000
Bi: 0.0000 0.5000 0.5000
Bi: 0.5000 0.0000 0.5000
N: 0.5000 0.5000 0.5000



Record 5
DFT (meta-GGA SCAN) results for YBiN2 at its PBEsol-relaxed geometry.

Computed properties:
Calculated volume   154 Å³/cell
ΔE_f (raw)   -0.36 eV per atom

a = 6.6223 Å, b = 6.6223 Å, c = 6.6223 Å
α = 132.63°, β = 132.63°, γ = 69.23°
Atoms (fractional coordinates):
Y: 0.0000 0.0000 0.0000
Y: 0.7500 0.2500 0.5000
Bi: 0.2500 0.7500 0.5000
Bi: 0.5000 0.5000 0.0000
N: 0.1025 0.6250 0.9775
N: 0.3750 0.3525 0.4775
N: 0.6475 0.1250 0.0225
N: 0.8750 0.8975 0.5225



Record 6
DFT (meta-GGA SCAN) results for ZnBiN2 at its PBEsol-relaxed geometry.

Computed properties:
Calculated volume   66 Å³/cell
ΔE_f (raw)   0.71 eV per atom

a = 6.2930 Å, b = 6.2930 Å, c = 6.2930 Å
α = 33.06°, β = 33.06°, γ = 33.06°
Atoms (fractional coordinates):
Zn: 0.0000 0.0000 0.0000
Bi: 0.5000 0.5000 0.5000
N: 0.1015 0.1015 0.1015
N: 0.8985 0.8985 0.8985



Record 7
DFT (meta-GGA SCAN) results for Na2NbBi2 at its PBEsol-relaxed geometry.

Computed properties:
Calculated volume   285 Å³/cell
Total DFT energy (no corrections)   -39.70 eV/atom

a = 7.5034 Å, b = 7.5034 Å, c = 5.0571 Å
α = 90.00°, β = 90.00°, γ = 90.00°
Atoms (fractional coordinates):
Na: 0.1645 0.3355 0.0000
Na: 0.3355 0.8355 0.0000
Na: 0.6645 0.1645 0.0000
Na: 0.8355 0.6645 0.0000
Nb: 0.0000 0.0000 0.5000
Nb: 0.5000 0.5000 0.5000
Bi: 0.1509 0.6509 0.5000
Bi: 0.3491 0.1509 0.5000
Bi: 0.6509 0.8491 0.5000
Bi: 0.8491 0.3491 0.5000



Record 8
DFT (meta-GGA SCAN) results for Na3Nb6Bi5O24 at its PBEsol-relaxed geometry.

Computed properties:
Calculated volume   500 Å³/cell
ΔE_f (raw)   -2.21 eV per atom

a = 5.4869 Å, b = 5.5426 Å, c = 16.6672 Å
α = 80.76°, β = 89.93°, γ = 89.68°
Atoms (fractional coordinates):
Na: 0.0000 0.0000 0.0000
Na: 0.0097 0.8736 0.2583
Na: 0.4954 0.5024 0.0015
Nb: 0.0020 0.2860 0.3841
Nb: 0.0027 0.4034 0.1321
Nb: 0.5005 0.0437 0.8874
Nb: 0.5055 0.9090 0.1298
Nb: 0.5076 0.7910 0.3847
Nb: 0.9957 0.5433 0.8870
Bi: 0.0211 0.7706 0.5611
Bi: 0.4682 0.2742 0.5599
Bi: 0.5105 0.3948 0.2586
Bi: 0.5226 0.7008 0.7136
Bi: 0.9689 0.1993 0.7132
O: 0.0617 0.4551 0.0198
O: 0.0721 0.2211 0.4959
O: 0.2069 0.2390 0.8844
O: 0.2098 0.6547 0.1608
O: 0.2114 0.5597 0.3528
O: 0.2363 0.4608 0.6393
O: 0.2555 0.9609 0.6384
O: 0.2819 0.7412 0.8812
O: 0.2882 0.0651 0.3562
O: 0.2887 0.1615 0.1580
O: 0.4187 0.6998 0.4947
O: 0.4255 0.9406 0.0194
O: 0.5706 0.0789 0.7752
O: 0.5740 0.7966 0.2579
O: 0.6855 0.5769 0.1274
O: 0.6874 0.4547 0.3877
O: 0.7177 0.2823 0.9171
O: 0.7370 0.4647 0.6333
O: 0.7560 0.9627 0.6345
O: 0.7706 0.7820 0.9166
O: 0.7987 0.0886 0.1203
O: 0.7996 0.9603 0.3962
O: 0.9142 0.3011 0.2573
O: 0.9188 0.5745 0.7754



Record 9
DFT (meta-GGA SCAN) results for NaNb4Bi5O18 at its PBEsol-relaxed geometry.

Computed properties:
Calculated volume   378 Å³/cell
ΔE_f (raw)   -2.06 eV per atom

a = 12.7544 Å, b = 12.7544 Å, c = 5.5369 Å
α = 90.07°, β = 90.07°, γ = 155.18°
Atoms (fractional coordinates):
Na: 0.0000 0.0000 0.0000
Nb: 0.0720 0.9060 0.5277
Nb: 0.4128 0.5804 0.0221
Nb: 0.5804 0.4128 0.0221
Nb: 0.9060 0.0720 0.5277
Bi: 0.2085 0.8092 0.9542
Bi: 0.2564 0.6548 0.4534
Bi: 0.4947 0.4947 0.4793
Bi: 0.6548 0.2564 0.4534
Bi: 0.8092 0.2085 0.9542
O: 0.1383 0.2633 0.2694
O: 0.2138 0.3430 0.7613
O: 0.2184 0.9044 0.5412
O: 0.2490 0.5618 0.0578
O: 0.2633 0.1383 0.2694
O: 0.3430 0.2138 0.7613
O: 0.4766 0.9728 0.2272
O: 0.4950 0.9925 0.7286
O: 0.5618 0.2490 0.0578
O: 0.5649 0.5649 0.0768
O: 0.5902 0.7626 0.3562
O: 0.6981 0.8816 0.8486
O: 0.7626 0.5902 0.3562
O: 0.8816 0.6981 0.8486
O: 0.9018 0.9018 0.5758
O: 0.9044 0.2184 0.5412
O: 0.9728 0.4766 0.2272
O: 0.9925 0.4950 0.7286



Record 10
DFT (meta-GGA SCAN) results for Na2NiBi2 at its PBEsol-relaxed geometry.

Computed properties:
Calculated volume   154 Å³/cell
Total DFT energy (no corrections)   -35.91 eV/atom

a = 8.7174 Å, b = 8.7174 Å, c = 8.7174 Å
α = 151.13°, β = 151.13°, γ = 41.29°
Atoms (fractional coordinates):
Na: 0.0911 0.0911 0.0000
Na: 0.9089 0.9089 0.0000
Ni: 0.5000 0.5000 0.0000
Bi: 0.2500 0.7500 0.5000
Bi: 0.7500 0.2500 0.5000



Record 11
DFT (meta-GGA SCAN) results for Na11Bi5O16 at its PBEsol-relaxed geometry.

Computed properties:
Calculated volume   859 Å³/cell
ΔE_f (raw)   -1.38 eV per atom

a = 9.5044 Å, b = 9.5044 Å, c = 9.5044 Å
α = 90.00°, β = 90.00°, γ = 90.00°
Atoms (fractional coordinates):
Na: 0.0000 0.0000 0.2400
Na: 0.0000 0.0000 0.7600
Na: 0.0000 0.2400 0.0000
Na: 0.0000 0.2500 0.5000
Na: 0.0000 0.7500 0.5000
Na: 0.0000 0.7600 0.0000
Na: 0.2400 0.0000 0.0000
Na: 0.2500 0.2500 0.2500
Na: 0.2500 0.5000 0.0000
Na: 0.2500 0.7500 0.7500
Na: 0.2600 0.5000 0.5000
Na: 0.5000 0.0000 0.2500
Na: 0.5000 0.0000 0.7500
Na: 0.5000 0.2600 0.5000
Na: 0.5000 0.5000 0.2600
Na: 0.5000 0.5000 0.7400
Na: 0.5000 0.7400 0.5000
Na: 0.7400 0.5000 0.5000
Na: 0.7500 0.2500 0.7500
Na: 0.7500 0.5000 0.0000
Na: 0.7500 0.7500 0.2500
Na: 0.7600 0.0000 0.0000
Bi: 0.0000 0.5000 0.2500
Bi: 0.0000 0.5000 0.7500
Bi: 0.2500 0.0000 0.5000
Bi: 0.2500 0.2500 0.7500
Bi: 0.2500 0.7500 0.2500
Bi: 0.5000 0.2500 0.0000
Bi: 0.5000 0.7500 0.0000
Bi: 0.7500 0.0000 0.5000
Bi: 0.7500 0.2500 0.2500
Bi: 0.7500 0.7500 0.7500
O: 0.0000 0.0000 0.0000
O: 0.0000 0.0000 0.5000
O: 0.0000 0.5000 0.0000
O: 0.0000 0.5000 0.5000
O: 0.0224 0.2586 0.7515
O: 0.0224 0.7414 0.2485
O: 0.2414 0.4776 0.7485
O: 0.2414 0.5224 0.2515
O: 0.2485 0.0224 0.7414
O: 0.2485 0.9776 0.2586
O: 0.2515 0.2414 0.5224
O: 0.2515 0.7586 0.4776
O: 0.2586 0.2485 0.9776
O: 0.2586 0.7515 0.0224
O: 0.4776 0.2515 0.7586
O: 0.4776 0.7485 0.2414
O: 0.5000 0.0000 0.0000
O: 0.5000 0.0000 0.5000
O: 0.5000 0.5000 0.0000
O: 0.5000 0.5000 0.5000
O: 0.5224 0.2515 0.2414
O: 0.5224 0.7485 0.7586
O: 0.7414 0.2485 0.0224
O: 0.7414 0.7515 0.9776
O: 0.7485 0.2414 0.4776
O: 0.7485 0.7586 0.5224
O: 0.7515 0.0224 0.2586
O: 0.7515 0.9776 0.7414
O: 0.7586 0.4776 0.2515
O: 0.7586 0.5224 0.7485
O: 0.9776 0.2586 0.2485
O: 0.9776 0.7414 0.7515



Record 12
DFT (meta-GGA SCAN) results for Na2Bi4O7 at its PBEsol-relaxed geometry.

Computed properties:
Calculated volume   478 Å³/cell
ΔE_f (raw)   -1.27 eV per atom

a = 10.1387 Å, b = 10.1387 Å, c = 5.9192 Å
α = 105.00°, β = 105.00°, γ = 115.81°
Atoms (fractional coordinates):
Na: 0.0084 0.8364 0.9262
Na: 0.1636 0.9916 0.5738
Na: 0.8364 0.0084 0.4262
Na: 0.9916 0.1636 0.0738
Bi: 0.1122 0.6166 0.3317
Bi: 0.2399 0.3831 0.7440
Bi: 0.3831 0.2399 0.2440
Bi: 0.3834 0.8878 0.1683
Bi: 0.6166 0.1122 0.8317
Bi: 0.6169 0.7601 0.7560
Bi: 0.7601 0.6169 0.2560
Bi: 0.8878 0.3834 0.6683
O: 0.0080 0.2884 0.4701
O: 0.1346 0.5161 0.9563
O: 0.1784 0.8216 0.2500
O: 0.1897 0.2199 0.9122
O: 0.2199 0.1897 0.4122
O: 0.2884 0.0080 0.9701
O: 0.4839 0.8654 0.5437
O: 0.5161 0.1346 0.4563
O: 0.7116 0.9920 0.0299
O: 0.7801 0.8103 0.5878
O: 0.8103 0.7801 0.0878
O: 0.8216 0.1784 0.7500
O: 0.8654 0.4839 0.0437
O: 0.9920 0.7116 0.5299



Record 13
DFT (meta-GGA SCAN) results for Na3BiO at its PBEsol-relaxed geometry.

Computed properties:
Calculated volume   104 Å³/cell
ΔE_f (raw)   -0.71 eV per atom

a = 4.6955 Å, b = 4.6955 Å, c = 4.6955 Å
α = 90.00°, β = 90.00°, γ = 90.00°
Atoms (fractional coordinates):
Na: 0.0000 0.0000 0.5000
Na: 0.0000 0.5000 0.0000
Na: 0.5000 0.0000 0.0000
Bi: 0.5000 0.5000 0.5000
O: 0.0000 0.0000 0.0000



Record 14
DFT (meta-GGA SCAN) results for Na3BiO3 at its PBEsol-relaxed geometry.

Computed properties:
Calculated volume   447 Å³/cell
ΔE_f (raw)   -1.51 eV per atom

a = 8.3419 Å, b = 8.3419 Å, c = 8.3419 Å
α = 109.47°, β = 109.47°, γ = 109.47°
Atoms (fractional coordinates):
Na: 0.0000 0.4750 0.7219
Na: 0.0000 0.7219 0.4750
Na: 0.2469 0.5250 0.5250
Na: 0.2781 0.2781 0.7531
Na: 0.2781 0.7531 0.2781
Na: 0.4750 0.0000 0.7219
Na: 0.4750 0.7219 0.0000
Na: 0.5250 0.2469 0.5250
Na: 0.5250 0.5250 0.2469
Na: 0.7219 0.0000 0.4750
Na: 0.7219 0.4750 0.0000
Na: 0.7531 0.2781 0.2781
Bi: 0.0000 0.0000 0.2819
Bi: 0.0000 0.2819 0.0000
Bi: 0.2819 0.0000 0.0000
Bi: 0.7181 0.7181 0.7181
O: 0.0000 0.2289 0.4837
O: 0.0000 0.4837 0.2289
O: 0.2289 0.0000 0.4837
O: 0.2289 0.4837 0.0000
O: 0.2548 0.7711 0.7711
O: 0.4837 0.0000 0.2289
O: 0.4837 0.2289 0.0000
O: 0.5163 0.5163 0.7452
O: 0.5163 0.7452 0.5163
O: 0.7452 0.5163 0.5163
O: 0.7711 0.2548 0.7711
O: 0.7711 0.7711 0.2548



Record 15
DFT (meta-GGA SCAN) results for Na3BiO3 at its PBEsol-relaxed geometry.

Computed properties:
Calculated volume   986 Å³/cell
ΔE_f (raw)   -1.48 eV per atom

a = 9.9404 Å, b = 10.0566 Å, c = 11.7366 Å
α = 115.07°, β = 106.45°, γ = 95.66°
Atoms (fractional coordinates):
Na: 0.0196 0.2517 0.0706
Na: 0.0242 0.3769 0.8862
Na: 0.0296 0.7821 0.5521
Na: 0.1027 0.9410 0.3934
Na: 0.1452 0.0276 0.8506
Na: 0.1882 0.6316 0.3562
Na: 0.1930 0.1275 0.2348
Na: 0.1972 0.4056 0.4433
Na: 0.3421 0.9199 0.6726
Na: 0.4153 0.0680 0.0868
Na: 0.4260 0.1199 0.4977
Na: 0.4717 0.6573 0.5822
Na: 0.5283 0.3427 0.4178
Na: 0.5740 0.8801 0.5023
Na: 0.5847 0.9320 0.9132
Na: 0.6579 0.0801 0.3274
Na: 0.8028 0.5944 0.5567
Na: 0.8070 0.8725 0.7652
Na: 0.8118 0.3684 0.6438
Na: 0.8548 0.9724 0.1494
Na: 0.8973 0.0590 0.6066
Na: 0.9704 0.2179 0.4479
Na: 0.9758 0.6231 0.1138
Na: 0.9804 0.7483 0.9294
Bi: 0.2082 0.6837 0.7615
Bi: 0.2347 0.2589 0.6964
Bi: 0.3094 0.8328 0.2087
Bi: 0.3434 0.4261 0.1654
Bi: 0.6566 0.5739 0.8346
Bi: 0.6906 0.1672 0.7913
Bi: 0.7653 0.7411 0.3036
Bi: 0.7918 0.3163 0.2385
O: 0.0155 0.7571 0.7430
O: 0.0373 0.3128 0.6792
O: 0.1007 0.8661 0.1596
O: 0.1522 0.4944 0.1188
O: 0.1542 0.0348 0.6488
O: 0.2231 0.2144 0.5028
O: 0.2242 0.6575 0.5790
O: 0.2395 0.1985 0.0764
O: 0.3310 0.8576 0.3991
O: 0.3402 0.9002 0.8675
O: 0.3623 0.4708 0.3601
O: 0.4160 0.0634 0.2846
O: 0.5840 0.9366 0.7154
O: 0.6377 0.5292 0.6399
O: 0.6598 0.0998 0.1325
O: 0.6690 0.1424 0.6009
O: 0.7605 0.8015 0.9236
O: 0.7758 0.3425 0.4210
O: 0.7769 0.7856 0.4972
O: 0.8458 0.9652 0.3512
O: 0.8478 0.5056 0.8812
O: 0.8993 0.1339 0.8404
O: 0.9627 0.6872 0.3208
O: 0.9845 0.2429 0.2570



Record 16
DFT (meta-GGA SCAN) results for Na3BiO4 at its PBEsol-relaxed geometry.

Computed properties:
Calculated volume   105 Å³/cell
ΔE_f (raw)   -1.44 eV per atom

a = 5.7811 Å, b = 5.7811 Å, c = 3.3064 Å
α = 90.00°, β = 90.00°, γ = 108.88°
Atoms (fractional coordinates):
Na: 0.0000 0.0000 0.0000
Na: 0.0000 0.5000 0.5000
Na: 0.5000 0.0000 0.5000
Bi: 0.5000 0.5000 0.0000
O: 0.2765 0.2765 0.5000
O: 0.2819 0.7181 0.0000
O: 0.7181 0.2819 0.0000
O: 0.7235 0.7235 0.5000